Below is a geometry-optimized NaCrIrO6 structure, with properties calculated at the PBE+U level.

Unit cell a=5.1718 b=5.1718 c=10.2366 alpha=90.00 beta=90.00 gamma=120.00
Space group P-31c (No. 163)
One atom of each set of equivalent atoms:
1 Na 0.0000 0.0000 0.0000 x2
2 Cr 0.3333 0.6667 0.2500 x2
3 Ir 0.3333 0.6667 0.7500 x2
4 O 0.0073 0.3810 0.6476 x12

Calculated volume = 13.17 Å³ per atom
Final energy = -113.67 eV per cell
Calculated density = 5.09 g/cm³
Magnetic moment = 3.77 μB per cell